## HfBe3Pb (PBE)

Data for an optimized crystal structure of HfBe3Pb.

a b c (Å): 4.543 4.543 4.543
angles (deg): 90.00 90.00 90.00
Fractional positions:
Hf (0.000, 0.000, 0.000)
Be (0.000, 0.500, 0.500)
Be (0.500, 0.000, 0.500)
Be (0.500, 0.500, 0.000)
Pb (0.500, 0.500, 0.500)

Summary:
SG ... Pm-3m (221)
Calculated volume ... 93.8 Å³ per cell
Energy of formation from the pure elements ... 1.39 eV per atom



## Hf3BePb (PBE)

Data for an optimized crystal structure of Hf3BePb.

a b c (Å): 5.284 5.284 5.284
angles (deg): 90.00 90.00 90.00
Fractional positions:
Hf (0.000, 0.000, 0.500)
Hf (0.000, 0.500, 0.000)
Hf (0.500, 0.000, 0.000)
Be (0.500, 0.500, 0.500)
Pb (0.000, 0.000, 0.000)

Summary:
SG ... Pm-3m (221)
Calculated volume ... 147.5 Å³ per cell
Energy of formation from the pure elements ... 1.76 eV per atom